# 1
This record from Alexandria via LeMat-Bulk describes a relaxed structure of YAg3Os. The functional is GGA-PBE.

Calculated values
- Spin magnetization: 0.0 μB per cell
- Energy above the most stable polymorph in this dataset: 0 meV/atom
- Energy relative to the elements: 4.75 eV/f.u.
- Calculated total energy: -0.1580 hartree per atom

abc: 5.0009 5.0009 5.0009
angles: 90.00 90.00 90.00
With the nearest neighbours (Å) after each atom.
Atoms (fractional coordinates):
Ag  0.0000  0.0000  0.5000  2 Os 2.50
Y  0.5000  0.5000  0.5000  12 Ag 3.54
Ag  0.5000  0.0000  0.0000  2 Os 2.50
Ag  0.0000  0.5000  0.0000  2 Os 2.50
Os  0.0000  0.0000  0.0000  6 Ag 2.50

---

# 2
This record from Alexandria via LeMat-Bulk describes a relaxed structure of Sr2TbMnS5. The functional is GGA-PBE.

Calculated values
- Spin magnetization: 8.0 μB per cell
- Calculated total energy: -0.2152 hartree per atom

abc: 4.0213 9.0249 12.3531
angles: 90.00 90.00 102.87
With the nearest neighbours (Å) after each atom.
Atoms (fractional coordinates):
Tb  0.7990  0.5980  0.5303  6 S 2.65-2.89
Tb  0.2010  0.4020  0.0303  6 S 2.65-2.89
S  0.4994  0.9988  0.7665  1 Mn 2.22
Sr  0.1229  0.2457  0.3345  6 S 3.00-3.10
S  0.9630  0.9261  0.5165  2 Mn 2.31
Sr  0.8800  0.7599  0.1865  7 S 3.00-3.24
Mn  0.4452  0.8905  0.4283  4 S 2.22-2.33
Mn  0.5548  0.1095  0.9283  4 S 2.22-2.33
S  0.3508  0.7017  0.0107  1 Tb 2.65
S  0.2998  0.5995  0.6780  2 Tb 2.72
Sr  0.8771  0.7543  0.8345  6 S 3.00-3.10
S  0.7002  0.4005  0.1780  2 Tb 2.72
S  0.3189  0.6377  0.3727  1 Mn 2.33
S  0.5006  0.0012  0.2665  1 Mn 2.22
S  0.6492  0.2983  0.5107  1 Tb 2.65
S  0.6811  0.3623  0.8727  1 Mn 2.33
Sr  0.1200  0.2401  0.6865  7 S 3.00-3.24
S  0.0370  0.0739  0.0165  2 Mn 2.31